Record 1
A plane-wave DFT calculation with GGA-PBE was carried out for a geometry-optimized FeCuBr2 structure.

ΔE to the lowest computed polymorph in meV per atom: 746
Uncorrected formation energy in eV per atom: 0.819

Cell and atoms, written as CIF:
```
data_FeCuBr2
_chemical_formula_sum 'Fe4 Cu4 Br8'
_cell_length_a 6.881
_cell_length_b 6.881
_cell_length_c 6.881
_cell_angle_alpha 90.00
_cell_angle_beta 90.00
_cell_angle_gamma 90.00
_space_group_name_H-M_alt 'F -4 3 m'
_space_group_IT_number 216
_space_group_name_Hall 'F -4 2 3'
loop_
_atom_site_label
_atom_site_fract_x
_atom_site_fract_y
_atom_site_fract_z
Fe1 0.000 0.000 0.000
Cu1 0.250 0.250 0.250
Br1 0.000 0.000 0.500
Br2 0.250 0.250 0.750
```

Record 2
A plane-wave DFT calculation with GGA-PBE was carried out for a geometry-optimized Fe2Cu2Br structure.

ΔE to the lowest computed polymorph in meV per atom: 0
Uncorrected formation energy in eV per atom: 0.525

Cell and atoms, written as CIF:
```
data_Fe2Cu2Br
_chemical_formula_sum 'Fe4 Cu4 Br2'
_cell_length_a 6.471
_cell_length_b 6.471
_cell_length_c 3.546
_cell_angle_alpha 90.00
_cell_angle_beta 90.00
_cell_angle_gamma 90.00
_space_group_name_H-M_alt 'P 4/m b m'
_space_group_IT_number 127
_space_group_name_Hall '-P 4 2ab'
loop_
_atom_site_label
_atom_site_fract_x
_atom_site_fract_y
_atom_site_fract_z
Fe1 0.131 0.369 0.000
Cu1 0.148 0.648 0.500
Br1 0.000 0.000 0.000
```

Record 3
A plane-wave DFT calculation with GGA-PBE was carried out for a geometry-optimized Fe2CuI6Br2 structure.

Uncorrected formation energy in eV per atom: -0.171

Cell and atoms, written as CIF:
```
data_Fe2CuI6Br2
_chemical_formula_sum 'Fe2 Cu1 I6 Br2'
_cell_length_a 7.1273
_cell_length_b 7.1273
_cell_length_c 9.9424
_cell_angle_alpha 90.00
_cell_angle_beta 90.00
_cell_angle_gamma 120.00
_space_group_name_H-M_alt 'P -3'
_space_group_IT_number 147
loop_
_space_group_symop_operation_xyz
'x,y,z'
'-x,-y,-z'
'-y,x-y,z'
'y,-x+y,-z'
'-x+y,-x,z'
'x-y,x,-z'
loop_
_atom_site_label
_atom_site_fract_x
_atom_site_fract_y
_atom_site_fract_z
Fe1 0.3333 0.6667 0.2490
Cu1 0.0000 0.0000 0.5000
I1 0.9995 0.3181 0.6681
Br1 0.3333 0.6667 0.0187
```

Record order is preserved below.
Calculated density: 5.69, 7.13, 4.16 g/cm3